VASP calculation (PBE) on a geometry-optimized Zr2MoPt2 structure.

```
Zr2MoPt2
1.0
-1.7878 5.8197 -4.4591
-7.2388 -2.1292 0.1234
-0.5106 1.8908 2.6725
Mo Zr Pt
2 4 4
direct
0.0000 0.0000 0.0000 Mo
0.5000 0.5000 0.0000 Mo
0.1718 0.6718 0.5000 Zr
0.6718 0.8282 0.5000 Zr
0.8282 0.3282 0.5000 Zr
0.3282 0.1718 0.5000 Zr
0.3702 0.8702 0.0000 Pt
0.8702 0.6298 0.0000 Pt
0.6298 0.1298 0.0000 Pt
0.1298 0.3702 0.0000 Pt
```

E_form = -11.847 kcal/mol of atoms
Total magnetic moment = 0.0 Bohr magnetons per cell
DOS at the Fermi energy = 1.315 states/eV per atom